A relaxed Cs4SiTe4 crystal. Source: Alexandria via LeMat-Bulk, functional PBEsol.

```
Cs4SiTe4
1.0
14.9940 0.0000 0.0000
0.0000 14.9940 0.0000
0.0000 0.0000 14.9940
Si Te Cs
8 32 32
direct
0.5000 0.0000 0.7500 Si
0.0000 0.0000 0.0000 Si
0.5000 0.0000 0.2500 Si
0.7500 0.5000 0.0000 Si
0.0000 0.7500 0.5000 Si
0.5000 0.5000 0.5000 Si
0.2500 0.5000 0.0000 Si
0.0000 0.2500 0.5000 Si
0.5936 0.1064 0.8417 Te
0.3417 0.6064 0.0936 Te
0.0936 0.3417 0.6064 Te
0.3936 0.0936 0.6583 Te
0.6583 0.6064 0.9064 Te
0.8936 0.1583 0.5936 Te
0.9029 0.9029 0.9029 Te
0.4064 0.8936 0.8417 Te
0.6583 0.3936 0.0936 Te
0.8936 0.8417 0.4064 Te
0.0971 0.9029 0.0971 Te
0.9029 0.0971 0.0971 Te
0.1064 0.1583 0.4064 Te
0.0971 0.0971 0.9029 Te
0.8417 0.4064 0.8936 Te
0.5971 0.5971 0.4029 Te
0.6064 0.9064 0.6583 Te
0.9064 0.6583 0.6064 Te
0.6064 0.0936 0.3417 Te
0.5971 0.4029 0.5971 Te
0.1064 0.8417 0.5936 Te
0.4029 0.4029 0.4029 Te
0.3417 0.3936 0.9064 Te
0.8417 0.5936 0.1064 Te
0.4064 0.1064 0.1583 Te
0.1583 0.4064 0.1064 Te
0.5936 0.8936 0.1583 Te
0.9064 0.3417 0.3936 Te
0.3936 0.9064 0.3417 Te
0.1583 0.5936 0.8936 Te
0.4029 0.5971 0.5971 Te
0.0936 0.6583 0.3936 Te
0.1327 0.9117 0.3507 Cs
0.1327 0.0883 0.6493 Cs
0.6327 0.1493 0.5883 Cs
0.8505 0.8505 0.1495 Cs
0.3505 0.3505 0.6495 Cs
0.5883 0.6327 0.1493 Cs
0.6493 0.8673 0.9117 Cs
0.1495 0.8505 0.8505 Cs
0.3505 0.6495 0.3505 Cs
0.4117 0.6327 0.8507 Cs
0.1493 0.5883 0.6327 Cs
0.8673 0.9117 0.6493 Cs
0.3673 0.1493 0.4117 Cs
0.9117 0.6493 0.8673 Cs
0.8507 0.5883 0.3673 Cs
0.3507 0.8673 0.0883 Cs
0.3507 0.1327 0.9117 Cs
0.6495 0.6495 0.6495 Cs
0.6493 0.1327 0.0883 Cs
0.9117 0.3507 0.1327 Cs
0.1495 0.1495 0.1495 Cs
0.8507 0.4117 0.6327 Cs
0.3673 0.8507 0.5883 Cs
0.0883 0.3507 0.8673 Cs
0.8673 0.0883 0.3507 Cs
0.6495 0.3505 0.3505 Cs
0.4117 0.3673 0.1493 Cs
0.6327 0.8507 0.4117 Cs
0.8505 0.1495 0.8505 Cs
0.1493 0.4117 0.3673 Cs
0.5883 0.3673 0.8507 Cs
0.0883 0.6493 0.1327 Cs
```

As for the calculated volume: 3371.0 Å³ per cell. The density comes out at 4.2 g cm⁻³. For the size of the total moment, the calculation gives 0.00 μB/f.u. As for the space group: P-43n (218). Its total energy is -3.4797 eV per atom.